[1]
DFT (GGA-PBE) results for crystalline ReMoW6 at its relaxed geometry.

a b c (Å): 6.3274 8.9874 4.4929
angles (deg): 90.00 90.00 90.00
Closest atoms and distances in Å follow each position.
Space group Cmmm (No. 65)
Asymmetric unit:
Re 0.0000 0.0000 0.0000 x2  8 W 2.75
Mo 0.0000 0.5000 0.0000 x2  8 W 2.75
W 0.0000 0.2493 0.5000 x4  8 W 2.74-2.75
W 0.2494 0.5000 0.5000 x4  4 W 2.74-2.75, 2 Mo 2.75, 2 Re 2.75
W 0.2500 0.2500 0.0000 x4  4 W 2.75, 2 Re 2.75, 2 Mo 2.75

Computed properties:
The value obtained for the total magnetization is 0.00 μB/f.u. The energy of formation from the pure elements comes out at 2 kJ/mol of atoms. As for the volume: 255 Å³/cell. For the offset from the most stable computed form, the calculation gives 0.00 eV/f.u. Its crystal system is orthorhombic.

***

[2]
DFT (GGA-PBE) results for crystalline Re2Mo5W at its relaxed geometry.

a b c (Å): 8.9066 6.3095 6.3058
angles (deg): 90.00 134.77 90.00
Closest atoms and distances in Å follow each position.
Space group Cm (No. 8)
Asymmetric unit:
Re 0.0000 0.0000 0.0000 x2  8 Mo 2.67-2.81
Re 0.0011 0.0000 0.5011 x2  8 Mo 2.67-2.81
Mo 0.0014 0.5000 0.9978 x2  8 Mo 2.68-2.80
Mo 0.2391 0.2494 0.9819 x4  4 Re 2.67-2.81, 2 W 2.69-2.79, 2 Mo 2.70-2.76
Mo 0.2389 0.2499 0.4814 x4  4 Re 2.67-2.81, 2 Mo 2.68-2.80, 2 W 2.71-2.75
W 0.9996 0.5000 0.4960 x2  8 Mo 2.69-2.79

Computed properties:
The value obtained for the total magnetization is 0.00 μB/f.u. The energy of formation from the pure elements comes out at 4 kJ/mol of atoms. As for the volume: 252 Å³/cell. Its crystal system is monoclinic.

***

[3]
DFT (GGA-PBE) results for crystalline ReMo2W2 at its relaxed geometry.

a b c (Å): 3.1659 22.3118 4.4746
angles (deg): 90.00 90.00 90.00
Closest atoms and distances in Å follow each position.
Space group Cmcm (No. 63)
Asymmetric unit:
Re 0.0000 0.1496 0.2500 x4  6 W 2.73-2.74, 2 Mo 2.76
Mo 0.0000 0.0508 0.7500 x4  8 W 2.73-2.75
Mo 0.0000 0.2491 0.7500 x4  2 W 2.71, 4 Mo 2.74, 2 Re 2.76
W 0.0000 0.3495 0.2500 x4  4 Mo 2.71-2.73, 4 Re 2.74
W 0.0000 0.4499 0.7500 x4  2 Re 2.73, 6 Mo 2.74-2.75

Computed properties:
The value obtained for the total magnetization is 0.00 μB/f.u. The energy of formation from the pure elements comes out at 1 kJ/mol of atoms. As for the volume: 316 Å³/cell. For the offset from the most stable computed form, the calculation gives 0.00 eV/f.u. Its crystal system is orthorhombic.

***

[4]
DFT (GGA-PBE) results for crystalline Re2Mo4W5 at its relaxed geometry.

a b c (Å): 14.8396 4.4671 5.2541
angles (deg): 90.00 90.07 90.00
Closest atoms and distances in Å follow each position.
Space group C2/m (No. 12)
Asymmetric unit:
Re 0.0912 0.0000 0.0500 x4  4 W 2.72-2.74, 1 Re 2.76, 3 Mo 2.76
Mo 0.0443 0.5000 0.7713 x4  5 W 2.72-2.75, 1 Mo 2.74, 2 Re 2.76
Mo 0.1815 0.0000 0.5911 x4  7 W 2.74-2.76, 1 Re 2.76
W 0.0000 0.0000 0.5000 x2  2 Re 2.73, 6 Mo 2.73-2.74
W 0.1366 0.5000 0.3171 x4  2 Re 2.72, 5 Mo 2.72-2.75, 1 W 2.72
W 0.2262 0.5000 0.8651 x4  3 W 2.72-2.74, 4 Mo 2.74-2.76, 1 Re 2.74

Computed properties:
The value obtained for the total magnetization is 0.00 μB/f.u. The energy of formation from the pure elements comes out at 2 kJ/mol of atoms. As for the volume: 348 Å³/cell. Its crystal system is monoclinic.

***

[5]
DFT (GGA-PBE) results for crystalline Re2MoW at its relaxed geometry.

a b c (Å): 2.7256 4.4420 5.2138
angles (deg): 90.00 100.18 90.00
Closest atoms and distances in Å follow each position.
Space group P2/m (No. 10)
Asymmetric unit:
Re 0.2252 0.0000 0.2510 x2  4 Re 2.69-2.76, 2 W 2.70, 2 Mo 2.75
Mo 0.5000 0.5000 0.0000 x1  2 W 2.72, 2 Mo 2.73, 4 Re 2.75
W 0.0000 0.5000 0.5000 x1  4 Re 2.70, 2 Mo 2.72, 2 W 2.73

Computed properties:
The value obtained for the total magnetization is 0.00 μB/f.u. The energy of formation from the pure elements comes out at 10 kJ/mol of atoms. As for the volume: 62 Å³/cell. For the offset from the most stable computed form, the calculation gives 0.06 eV/f.u. Its crystal system is monoclinic.

***

[6]
DFT (GGA-PBE) results for crystalline ReMo2W at its relaxed geometry.

a b c (Å): 2.7337 4.4554 5.2401
angles (deg): 90.00 100.06 90.00
Closest atoms and distances in Å follow each position.
Space group Pm (No. 6)
Asymmetric unit:
Re 0.0000 0.0000 0.0000 x1  2 W 2.72, 4 Mo 2.73-2.75, 2 Re 2.73
Mo 0.2613 0.5000 0.7459 x1  4 Mo 2.71-2.73, 2 W 2.72-2.75, 2 Re 2.75
Mo 0.5037 0.0000 0.5002 x1  4 Mo 2.71-2.73, 2 Re 2.73-2.74, 2 W 2.74
W 0.7521 0.5000 0.2450 x1  2 Re 2.72, 4 Mo 2.72-2.75, 2 W 2.73

Computed properties:
The value obtained for the total magnetization is 0.00 μB/f.u. The energy of formation from the pure elements comes out at 3 kJ/mol of atoms. As for the volume: 63 Å³/cell. For the offset from the most stable computed form, the calculation gives 0.05 eV/f.u. Its crystal system is monoclinic.

***

[7]
DFT (GGA-PBE) results for crystalline Re2Mo6W at its relaxed geometry.

a b c (Å): 6.9488 13.4516 3.1008
angles (deg): 90.00 98.87 90.00
Closest atoms and distances in Å follow each position.
Space group C2/m (No. 12)
Asymmetric unit:
Re 0.0000 0.1639 0.0000 x4  6 Mo 2.66-2.85, 2 W 2.70
Mo 0.1657 0.5000 0.8359 x4  6 Mo 2.66-2.86, 2 W 2.69-2.86
Mo 0.1695 0.3345 0.3310 x8  3 Re 2.66-2.85, 5 Mo 2.68-2.88
W 0.0000 0.0000 0.5000 x2  4 Mo 2.69-2.86, 4 Re 2.70

Computed properties:
The value obtained for the total magnetization is 0.00 μB/f.u. The energy of formation from the pure elements comes out at 17 kJ/mol of atoms. As for the volume: 286 Å³/cell. For the offset from the most stable computed form, the calculation gives 0.00 eV/f.u. Its crystal system is monoclinic.

***

[8]
DFT (GGA-PBE) results for crystalline Re2Mo2W7 at its relaxed geometry.

a b c (Å): 8.6315 9.6593 5.1435
angles (deg): 90.00 120.07 90.00
Closest atoms and distances in Å follow each position.
Space group C2/m (No. 12)
Asymmetric unit:
Re 0.0000 0.1356 0.0000 x4  1 Re 2.62, 4 W 2.64-2.89
Mo 0.1721 0.5000 0.9871 x4  6 W 2.57-2.74
W 0.0000 0.0000 0.5000 x2  6 W 2.70-2.84, 2 Mo 2.74, 4 Re 2.89
W 0.1648 0.5000 0.4796 x4  3 Mo 2.57-2.69, 3 W 2.71-2.84
W 0.1872 0.2389 0.6903 x8  2 Re 2.64-2.95, 5 W 2.68-2.82, 1 Mo 2.74

Computed properties:
The value obtained for the total magnetization is 0.00 μB/f.u. The energy of formation from the pure elements comes out at 49 kJ/mol of atoms. As for the volume: 371 Å³/cell. Its crystal system is monoclinic.

***

[9]
DFT (GGA-PBE) results for crystalline ReMo6W8 at its relaxed geometry.

a b c (Å): 7.0911 7.0911 17.3318
angles (deg): 90.00 90.00 120.00
Closest atoms and distances in Å follow each position.
Space group R-3 (No. 148, hexagonal axes)
Asymmetric unit:
Re 0.0000 0.0000 0.0000 x3  6 W 2.82, 6 Mo 2.83
Mo 0.0036 0.2501 0.3762 x18  2 W 2.49-2.79, 1 Mo 2.49
W 0.0000 0.0000 0.2505 x6  6 Mo 2.79-2.80, 6 W 2.81-2.82
W 0.0053 0.7498 0.1256 x18  1 Mo 2.49, 1 W 2.55

Computed properties:
The value obtained for the total magnetization is 0.00 μB/f.u. The energy of formation from the pure elements comes out at 28 kJ/mol of atoms. As for the volume: 755 Å³/cell. For the offset from the most stable computed form, the calculation gives 0.00 eV/f.u. Its crystal system is trigonal.

***

[10]
DFT (GGA-PBE) results for crystalline Re2Mo2W5 at its relaxed geometry.

a b c (Å): 14.5652 2.6190 9.7034
angles (deg): 90.00 126.97 90.00
Closest atoms and distances in Å follow each position.
Space group C2/m (No. 12)
Asymmetric unit:
Re 0.1610 0.0000 0.3403 x4  4 Re 2.62-2.89, 4 W 2.75-2.93, 2 Mo 2.89
Mo 0.0508 0.5000 0.7735 x4  2 Mo 2.62, 6 W 2.69-2.89, 2 Re 2.89
W 0.0000 0.5000 0.0000 x2  6 W 2.62-2.93, 2 Mo 2.71
W 0.1197 0.5000 0.5682 x4  4 W 2.62-2.89, 2 Mo 2.69-2.72, 3 Re 2.75-2.93
W 0.2113 0.0000 0.0963 x4  5 W 2.62-2.93, 3 Mo 2.86-2.89, 1 Re 2.87

Computed properties:
The value obtained for the total magnetization is 0.00 μB/f.u. The energy of formation from the pure elements comes out at 54 kJ/mol of atoms. As for the volume: 296 Å³/cell. Its crystal system is monoclinic.

***

[11]
DFT (GGA-PBE) results for crystalline ReMo2W at its relaxed geometry.

a b c (Å): 2.7955 2.7955 28.1793
angles (deg): 90.00 90.00 120.00
Closest atoms and distances in Å follow each position.
Space group R-3m (No. 166, hexagonal axes)
Asymmetric unit:
Re 0.0000 0.0000 0.0000 x3  6 Mo 2.77, 6 Re 2.80
Mo 0.0000 0.0000 0.2533 x6  3 Re 2.77, 6 Mo 2.80, 3 W 2.93
W 0.0000 0.0000 0.5000 x3  6 W 2.80, 6 Mo 2.93

Computed properties:
The value obtained for the total magnetization is 0.00 μB/f.u. The energy of formation from the pure elements comes out at 29 kJ/mol of atoms. As for the volume: 191 Å³/cell. For the offset from the most stable computed form, the calculation gives 1.12 eV/f.u. Its crystal system is trigonal.

***

[12]
DFT (GGA-PBE) results for crystalline ReMo2W at its relaxed geometry.

a b c (Å): 6.3147 6.3147 6.3147
angles (deg): 90.00 90.00 90.00
Closest atoms and distances in Å follow each position.
Space group F-43m (No. 216)
Asymmetric unit:
Re 0.0000 0.0000 0.0000 x4  4 W 2.73, 4 Mo 2.73
Mo 0.0000 0.0000 0.5000 x4  4 Mo 2.73, 4 W 2.73
Mo 0.2500 0.2500 0.2500 x4  4 Mo 2.73, 4 Re 2.73
W 0.2500 0.2500 0.7500 x4  4 Mo 2.73, 4 Re 2.73

Computed properties:
The value obtained for the total magnetization is 0.00 μB/f.u. The energy of formation from the pure elements comes out at 2 kJ/mol of atoms. As for the volume: 252 Å³/cell. For the offset from the most stable computed form, the calculation gives 0.00 eV/f.u. Its crystal system is cubic.

***

Q: Number 2 is which compound?
A: Re2Mo5W